# 1
PBE-GGA ReSiTeAs2, relaxed; uncorrected energy = -26.309 eV/cell; SG = P4/mmm, No. 123; formation energy (no corrections) = 0.801 eV per atom
1.0
-0.396 2.498 -3.929
-5.834 -0.038 0.563
0.215 3.949 2.489
Te Re As Si
1 1 2 1
direct
0.000 0.500 0.000
0.000 0.000 0.000
0.000 0.000 0.500
0.500 0.000 0.000
0.500 0.500 0.500

***

# 2
PBE-GGA SmReAs, relaxed; energy relative to the elements = -455 meV per atom; uncorrected energy = -46.363 eV/cell; SG = P4/nmm, No. 129
1.0
4.086 0.000 0.000
0.000 4.086 0.000
0.000 0.000 7.318
Re Sm As
2 2 2
direct
0.500 0.500 0.000
0.000 0.000 0.000
0.500 0.000 0.666
0.000 0.500 0.334
0.000 0.500 0.782
0.500 0.000 0.218

***

# 3
PBE-GGA ReSn3As, relaxed; energy relative to the elements = 1518 meV per atom; uncorrected energy = -21.516 eV/cell; offset from the most stable computed form = 0.9751 eV/atom; SG = Pm-3m, No. 221
1.0
5.213 0.000 0.000
0.000 5.213 0.000
0.000 0.000 5.213
Re Sn As
1 3 1
direct
0.500 0.500 0.500
0.500 0.000 0.000
0.000 0.000 0.500
0.000 0.500 0.000
0.000 0.000 0.000

***

# 4
PBE-GGA ReSnAs2, relaxed; energy relative to the elements = -40 meV per atom; uncorrected energy = -51.824 eV/cell; SG = P2_1/m, No. 11
1.0
-0.196 -3.009 0.847
4.725 0.790 3.898
-4.248 2.495 7.874
Re As Sn
2 4 2
direct
0.278 0.902 0.559
0.778 0.284 0.544
0.278 0.486 0.692
0.778 0.953 0.759
0.278 0.233 0.344
0.778 0.700 0.412
0.277 0.345 0.018
0.777 0.841 0.086

***

# 5
PBE-GGA ReSnAs2, relaxed; energy relative to the elements = 680 meV per atom; uncorrected energy = -23.029 eV/cell; SG = R-3m, No. 166
1.0
2.923 0.000 0.000
1.461 2.531 0.000
1.461 0.844 10.796
Sn As Re
1 2 1
direct
0.500 0.500 0.500
0.922 0.922 0.234
0.078 0.078 0.766
0.000 0.000 0.000

***

# 6
PBE-GGA ReSn3As, relaxed; energy relative to the elements = 543 meV per atom; uncorrected energy = -26.391 eV/cell; offset from the most stable computed form = 0.0000 eV/atom; SG = Pm-3m, No. 221
1.0
-2.086 -2.425 4.100
4.492 0.486 2.573
-1.584 4.574 1.900
Sn As Re
3 1 1
direct
0.500 0.000 0.000
0.000 0.000 0.500
0.000 0.500 0.000
0.500 0.500 0.500
0.000 0.000 0.000

***

# 7
PBE-GGA Re3SnAs, relaxed; energy relative to the elements = 1531 meV per atom; uncorrected energy = -38.342 eV/cell; offset from the most stable computed form = 0.0000 eV/atom; SG = Pm-3m, No. 221
1.0
-4.543 -0.572 -0.208
0.374 -3.860 2.444
-0.480 2.405 3.872
As Re Sn
1 3 1
direct
0.000 0.000 0.000
0.500 0.000 0.000
0.000 0.000 0.500
0.000 0.500 0.000
0.500 0.500 0.500

***

# 8
PBE-GGA ReSnAs2, relaxed; energy relative to the elements = 409 meV per atom; uncorrected energy = -48.228 eV/cell; SG = I-42d, No. 122
1.0
-5.523 2.372 0.223
-2.371 -5.419 -1.092
-4.171 -2.586 5.324
As Sn Re
4 2 2
direct
0.375 0.316 0.750
0.066 0.625 0.250
0.684 0.125 0.250
0.875 0.934 0.750
0.500 0.500 0.000
0.250 0.750 0.500
0.750 0.250 0.500
0.000 0.000 0.000

***

# 9
PBE-GGA Re3SnAs, relaxed; energy relative to the elements = 2902 meV per atom; uncorrected energy = -31.486 eV/cell; offset from the most stable computed form = 1.3712 eV/atom; SG = Pm-3m, No. 221
1.0
4.857 0.000 0.000
0.000 4.857 0.000
0.000 0.000 4.857
Re As Sn
3 1 1
direct
0.000 0.000 0.500
0.500 0.000 0.000
0.000 0.500 0.000
0.500 0.500 0.500
0.000 0.000 0.000

***

# 10
PBE-GGA ReTcSnAs2, relaxed; energy relative to the elements = 1288 meV per atom; uncorrected energy = -29.674 eV/cell; SG = P4/mmm, No. 123
1.0
4.668 0.000 0.000
0.000 5.362 0.000
0.000 0.000 4.668
Re Sn As Tc
1 1 2 1
direct
0.500 0.500 0.500
0.000 0.500 0.000
0.500 0.000 0.000
0.000 0.000 0.500
0.000 0.000 0.000

***

# 11
PBE-GGA ReSnTe2As, relaxed; uncorrected energy = -24.777 eV/cell; SG = P4/mmm, No. 123; formation energy (no corrections) = 0.521 eV per atom
1.0
5.466 0.000 0.000
0.000 4.662 0.000
0.000 0.000 5.466
Te Sn Re As
2 1 1 1
direct
0.500 0.000 0.000
0.000 0.000 0.500
0.500 0.500 0.500
0.000 0.000 0.000
0.000 0.500 0.000

***

# 12
PBE-GGA ZnReSnAs2, relaxed; energy relative to the elements = 1735 meV per atom; uncorrected energy = -18.349 eV/cell; SG = P4/mmm, No. 123
1.0
5.284 0.000 0.000
0.000 4.832 0.000
0.000 0.000 5.284
Re Zn As Sn
1 1 2 1
direct
0.500 0.500 0.500
0.000 0.500 0.000
0.500 0.000 0.000
0.000 0.000 0.500
0.000 0.000 0.000

***

Q: What is the formula in the eleventh record?
A: ReSnTe2As